The following is a PBE calculation of a relaxed structure of ErZnGe2, from Alexandria via LeMat-Bulk.

Properties
The total moment comes out at 0.00 μB/f.u. The space group is No. 166. The calculation puts the energy relative to the elements at -25.4 kJ/mol of atoms.

a = 4.370 Å, b = 4.370 Å, c = 14.463 Å
α = 90.00°, β = 90.00°, γ = 120.00°
Element x y z (fractional)
Er: 0.000 0.000 0.000
Er: 0.333 0.667 0.667
Er: 0.667 0.333 0.333
Zn: 0.000 0.000 0.500
Zn: 0.333 0.667 0.167
Zn: 0.667 0.333 0.833
Ge: 0.000 0.000 0.223
Ge: 0.000 0.000 0.777
Ge: 0.333 0.667 0.444
Ge: 0.333 0.667 0.889
Ge: 0.667 0.333 0.111
Ge: 0.667 0.333 0.556


The following is a PBE calculation of a relaxed structure of RbZnCuS2, from Alexandria via LeMat-Bulk.

Properties
The calculation puts the raw formation energy at -0.7640 eV/atom. The total moment comes out at 0.00 μB/f.u. The space group is No. 67.

a = 7.405 Å, b = 7.405 Å, c = 5.890 Å
α = 90.00°, β = 90.00°, γ = 131.73°
Element x y z (fractional)
Rb: 0.250 0.750 0.758
Rb: 0.750 0.250 0.242
Zn: 0.250 0.250 0.500
Zn: 0.750 0.750 0.500
Cu: 0.000 0.000 0.000
Cu: 0.500 0.500 0.000
S: 0.101 0.899 0.285
S: 0.399 0.601 0.285
S: 0.601 0.399 0.715
S: 0.899 0.101 0.715


The following is a PBE calculation of a relaxed structure of TlCuPtRh, from Alexandria via LeMat-Bulk.

Properties
The total moment comes out at 0.00 μB/f.u. The space group is No. 216. The calculation puts the energy relative to the elements at 2.2 kJ/mol of atoms.

a = 6.366 Å, b = 6.366 Å, c = 6.366 Å
α = 90.00°, β = 90.00°, γ = 90.00°
Element x y z (fractional)
Tl: 0.000 0.000 0.000
Tl: 0.000 0.500 0.500
Tl: 0.500 0.000 0.500
Tl: 0.500 0.500 0.000
Cu: 0.000 0.000 0.500
Cu: 0.000 0.500 0.000
Cu: 0.500 0.000 0.000
Cu: 0.500 0.500 0.500
Pt: 0.250 0.250 0.750
Pt: 0.250 0.750 0.250
Pt: 0.750 0.250 0.250
Pt: 0.750 0.750 0.750
Rh: 0.250 0.250 0.250
Rh: 0.250 0.750 0.750
Rh: 0.750 0.250 0.750
Rh: 0.750 0.750 0.250


The following is a PBE calculation of a relaxed structure of MnRh2Cl, from Alexandria via LeMat-Bulk.

Properties
The calculation puts the raw formation energy at 0.2186 eV/atom. The total moment comes out at 4.48 μB/f.u. The space group is No. 12.

a = 9.202 Å, b = 2.942 Å, c = 4.571 Å
α = 90.00°, β = 95.25°, γ = 90.00°
Element x y z (fractional)
Mn: 0.000 0.000 0.000
Mn: 0.500 0.500 0.000
Rh: 0.221 0.500 0.231
Rh: 0.279 0.000 0.769
Rh: 0.721 0.000 0.231
Rh: 0.779 0.500 0.769
Cl: 0.000 0.500 0.500
Cl: 0.500 0.000 0.500